This record from Alexandria describes an optimized crystal structure of La4BBr2O. The functional is PBE-GGA.

The value obtained for the uncorrected formation energy is -1.4513 eV per atom. The crystal system is monoclinic.

Lattice parameters (Å, degrees): 6.650 3.943 7.962 90.00 107.02 90.00
Fractional positions:
La 0.223 0.000 0.185
La 0.257 0.500 0.811
La 0.743 0.500 0.189
La 0.777 0.000 0.815
B 0.500 0.000 0.000
Br 0.000 0.000 0.500
Br 0.500 0.500 0.500
O 0.000 0.500 0.000

This record from Alexandria describes an optimized crystal structure of ThSiRh. The functional is PBE-GGA.

The value obtained for the uncorrected formation energy is -0.9958 eV per atom. The crystal system is orthorhombic.

Lattice parameters (Å, degrees): 11.953 11.953 11.953 159.14 42.69 143.19
Fractional positions:
Th 0.000 0.000 0.000
Th 0.246 0.082 0.163
Th 0.339 0.009 0.330
Th 0.568 0.068 0.500
Th 0.679 0.009 0.670
Th 0.919 0.082 0.837
Si 0.107 0.377 0.729
Si 0.138 0.702 0.436
Si 0.266 0.702 0.564
Si 0.614 0.703 0.911
Si 0.648 0.377 0.271
Si 0.792 0.703 0.089
Rh 0.290 0.371 0.920
Rh 0.451 0.371 0.080
Rh 0.465 0.710 0.755
Rh 0.764 0.368 0.396
Rh 0.956 0.710 0.245
Rh 0.971 0.368 0.604

This record from Alexandria describes an optimized crystal structure of Tm8CdSn2. The functional is PBE-GGA.

Its energy of formation is -266.5 meV/atom. The crystal system is monoclinic.

Lattice parameters (Å, degrees): 9.882 9.882 6.710 103.87 103.87 29.44
Fractional positions:
Tm 0.022 0.022 0.269
Tm 0.213 0.213 0.819
Tm 0.344 0.344 0.504
Tm 0.407 0.407 0.024
Tm 0.593 0.593 0.976
Tm 0.656 0.656 0.496
Tm 0.787 0.787 0.181
Tm 0.978 0.978 0.731
Cd 0.500 0.500 0.500
Sn 0.182 0.182 0.257
Sn 0.818 0.818 0.743

This record from Alexandria describes an optimized crystal structure of MnGeBr3. The functional is PBE-GGA.

The value obtained for the uncorrected formation energy is -0.0893 eV per atom. For the energy above the most stable polymorph in this dataset, the calculation gives 0 kJ/mol of formula units. The crystal system is cubic.

Lattice parameters (Å, degrees): 5.234 5.234 5.234 90.00 90.00 90.00
Fractional positions:
Mn 0.000 0.000 0.000
Ge 0.500 0.500 0.500
Br 0.000 0.000 0.500
Br 0.000 0.500 0.000
Br 0.500 0.000 0.000

Computed electronic total energy, in the same sequence as the records: -0.425; -0.568; -0.318; -0.283 Ry/atom.
Computed spin magnetization, in the same sequence as the records: 0.00; 0.00; 0.00; 6.00 Bohr magnetons per cell.
Computed D(E_F), in the same sequence as the records: 0.29; 0.45; 1.04; 0.37 states/eV/atom.